Run one
This record from Alexandria via LeMat-Bulk describes crystalline AsPCl2 at its relaxed geometry. The functional is PBE-GGA.

Output
- SG: R-3m, No. 166

Structure (POSCAR):
```
AsPCl2
1.0
1.8206 0.0000 9.3267
-0.9103 1.5767 9.3267
-0.9103 -1.5767 9.3267
P As Cl
1 1 2
Cartesian
0.0000 0.0000 0.0000
0.0000 0.0000 13.9901
0.0000 0.0000 25.7145
0.0000 0.0000 2.2658
```

***

Run two
This record from Alexandria via LeMat-Bulk describes crystalline AsPCl2 at its relaxed geometry. The functional is PBE-GGA.

Output
- SG: Immm, No. 71

Structure (POSCAR):
```
AsPCl2
1.0
5.4206 0.0024 -0.0108
1.6345 5.1683 0.0108
-2.5355 -3.9390 2.7274
As Cl P
1 2 1
Cartesian
1.3133 1.9073 1.3691
6.9709 5.1089 0.0000
3.6118 2.6471 0.0000
3.2064 -0.6757 1.3583
```

***

Run three
This record from Alexandria via LeMat-Bulk describes crystalline AsPCl2 at its relaxed geometry. The functional is PBE-GGA.

Output
- SG: Cmm2, No. 35

Structure (POSCAR):
```
AsPCl2
1.0
-0.7729 -3.3036 -3.8246
3.7825 1.6648 3.0099
-1.6703 -5.6705 5.2356
As Cl P
1 2 1
Cartesian
0.3105 -4.8739 3.3361
-1.6097 -5.4647 5.0455
1.0148 -2.4829 1.1286
-0.8818 -2.9936 2.7640
```

***

Run four
This record from Alexandria via LeMat-Bulk describes crystalline AsPCl2 at its relaxed geometry. The functional is PBE-GGA.

Output
- SG: Pmmm, No. 47

Structure (POSCAR):
```
AsPCl2
1.0
3.1465 0.0000 0.0000
0.0000 5.5758 0.0000
0.0000 0.0000 4.3758
As Cl P
1 2 1
Cartesian
0.0000 2.7879 2.1879
0.0000 0.0000 0.0000
1.5732 2.7879 0.0000
1.5732 0.0000 2.1879
```

***

Here is how they stack up, most stable first: run three, run one, run two, run four.

***

Run one
This record from Alexandria via LeMat-Bulk describes crystalline AsPCl2 at its relaxed geometry. The functional is PBE-GGA.

Output
- SG: Cm, No. 8

Structure (POSCAR):
```
AsPCl2
1.0
-4.1549 3.8435 -2.0960
-5.5218 2.3006 0.8040
2.0173 4.7715 3.4896
As Cl P
1 2 1
Cartesian
-6.6270 8.7380 1.5256
1.7815 4.3806 3.1705
-1.7388 3.1618 0.8627
-2.8874 4.8644 1.2272
```

***

Run two
This record from Alexandria via LeMat-Bulk describes crystalline AsPCl2 at its relaxed geometry. The functional is PBE-GGA.

Output
- SG: R-3m, No. 166

Structure (POSCAR):
```
AsPCl2
1.0
-2.8191 -3.2770 8.0182
-4.9718 -4.5304 6.1428
-2.2230 -5.9507 6.5288
As Cl P
1 2 1
Cartesian
-7.5104 -10.3186 15.5173
-9.9962 -13.7339 20.6532
-5.0246 -6.9034 10.3814
-2.5035 -3.4395 5.1724
```

***

Run three
This record from Alexandria via LeMat-Bulk describes crystalline AsPCl2 at its relaxed geometry. The functional is PBE-GGA.

Output
- SG: R-3m, No. 166

Structure (POSCAR):
```
AsPCl2
1.0
3.5227 6.5600 5.8287
5.8705 6.4088 3.7259
3.3685 8.2485 3.1675
P As Cl
1 1 2
Cartesian
6.3808 10.6086 6.3610
0.0000 0.0000 0.0000
11.6383 19.3497 11.6023
1.1233 1.8676 1.1198
```

***

Run four
This record from Alexandria via LeMat-Bulk describes crystalline AsPCl2 at its relaxed geometry. The functional is PBE-GGA.

Output
- SG: F-43m, No. 216

Structure (POSCAR):
```
AsPCl2
1.0
4.6766 0.0000 0.0000
2.3383 4.0500 0.0000
2.3383 1.3500 3.8184
As Cl P
1 2 1
Cartesian
4.6766 2.7000 1.9092
0.0000 0.0000 0.0000
2.3383 1.3500 0.9546
7.0148 4.0500 2.8638
```

***

Here is how they stack up, most stable first: run one, run three, run four, run two.

***

Run one
This record from Alexandria via LeMat-Bulk describes crystalline As3PCl at its relaxed geometry. The functional is PBE-GGA.

Output
- SG: Pm-3m, No. 221

Structure (POSCAR):
```
As3PCl
1.0
4.8394 0.0000 0.0000
0.0000 4.8394 0.0000
0.0000 0.0000 4.8394
P As Cl
1 3 1
Cartesian
0.0000 0.0000 0.0000
0.0000 2.4197 0.0000
0.0000 0.0000 2.4197
2.4197 0.0000 0.0000
2.4197 2.4197 2.4197
```

***

Run two
This record from Alexandria via LeMat-Bulk describes crystalline As3PCl at its relaxed geometry. The functional is PBE-GGA.

Output
- SG: Pm-3m, No. 221

Structure (POSCAR):
```
As3PCl
1.0
-2.8806 1.4835 -3.6065
0.0655 -4.4646 -1.8889
-3.8991 -1.1711 2.6326
P As Cl
1 3 1
Cartesian
-3.3571 -2.0761 -1.4314
0.0328 -2.2323 -0.9445
-1.9496 -0.5855 1.3163
-1.4403 0.7418 -1.8032
0.0000 0.0000 0.0000
```

***

Here is how they stack up, most stable first: run one, run two.